Density functional theory data (PBE) for a relaxed Sr2RhBr crystal.

The structure in POSCAR format:
```
Sr2RhBr
1.0
4.350 0.000 0.000
-2.175 3.767 0.000
0.000 0.000 23.053
Sr Rh Br
6 3 3
direct
0.000 0.000 0.236
0.000 0.000 0.764
0.333 0.667 0.430
0.333 0.667 0.903
0.667 0.333 0.097
0.667 0.333 0.570
0.000 0.000 0.500
0.333 0.667 0.167
0.667 0.333 0.833
0.000 0.000 0.000
0.333 0.667 0.667
0.667 0.333 0.333
```

Properties
Space group: R-3m (166)
Energy relative to the lowest polymorph listed for this composition in meV/atom: 0
Formation energy (no corrections) in eV/atom: -0.8782